Record 1
# YFe2S PBE optimized geometry
# Raw formation energy (eV/atom): -0.23
# Total moment (μB per formula unit): 2.3
data_YFe2S
_cell_length_a 4.354
_cell_length_b 4.354
_cell_length_c 14.955
_cell_angle_alpha 90.00
_cell_angle_beta 90.00
_cell_angle_gamma 90.00
_symmetry_space_group_name_H-M 'I -4 2 d'
_symmetry_Int_Tables_number 122
_symmetry_space_group_name_Hall 'I -4 2bw'
loop_
_atom_site_label
_atom_site_fract_x
_atom_site_fract_y
_atom_site_fract_z
_atom_site_occupancy
Y1 0.000 0.000 0.000 1
Fe1 0.055 0.250 0.625 1
S1 0.000 0.000 0.500 1

Record 2
# InGeSb2 PBE optimized geometry
# Raw formation energy (eV/atom): 0.22
# Excess energy over the best structure of this formula in the dataset (eV/atom): 0.129
# Total moment (μB per formula unit): 0.0
data_InGeSb2
_cell_length_a 7.406
_cell_length_b 7.406
_cell_length_c 7.406
_cell_angle_alpha 90.00
_cell_angle_beta 90.00
_cell_angle_gamma 90.00
_symmetry_space_group_name_H-M 'F m -3 m'
_symmetry_Int_Tables_number 225
_symmetry_space_group_name_Hall '-F 4 2 3'
loop_
_atom_site_label
_atom_site_fract_x
_atom_site_fract_y
_atom_site_fract_z
_atom_site_occupancy
In1 0.000 0.000 0.000 1
Ge1 0.000 0.000 0.500 1
Sb1 0.250 0.250 0.250 1

Record 3
# YH8Ru2 PBE optimized geometry
# DFT total energy (eV/atom): -4.887
# Total moment (μB per formula unit): 0.0
data_YH8Ru2
_cell_length_a 5.524
_cell_length_b 8.220
_cell_length_c 3.626
_cell_angle_alpha 90.00
_cell_angle_beta 95.32
_cell_angle_gamma 90.00
_symmetry_space_group_name_H-M 'C 1 2/m 1'
_symmetry_Int_Tables_number 12
_symmetry_space_group_name_Hall '-C 2y'
loop_
_atom_site_label
_atom_site_fract_x
_atom_site_fract_y
_atom_site_fract_z
_atom_site_occupancy
Y1 0.000 0.000 0.000 1
H1 0.000 0.291 0.000 1
H2 0.084 0.500 0.744 1
H3 0.187 0.139 0.537 1
Ru1 0.000 0.317 0.500 1

Record 4
# Ti3AsPb PBE optimized geometry
# Excess energy over the best structure of this formula in the dataset (eV/atom): 1.127
# Total moment (μB per formula unit): 5.0
# ΔE_f (eV per formula unit): 5.7
data_Ti3AsPb
_cell_length_a 5.153
_cell_length_b 5.153
_cell_length_c 5.153
_cell_angle_alpha 90.00
_cell_angle_beta 90.00
_cell_angle_gamma 90.00
_symmetry_space_group_name_H-M 'P m -3 m'
_symmetry_Int_Tables_number 221
_symmetry_space_group_name_Hall '-P 4 2 3'
loop_
_atom_site_label
_atom_site_fract_x
_atom_site_fract_y
_atom_site_fract_z
_atom_site_occupancy
Ti1 0.000 0.000 0.500 1
As1 0.500 0.500 0.500 1
Pb1 0.000 0.000 0.000 1

- Which of these has the highest total moment?
  Ti3AsPb

- Which formula does entry 2 have?
  InGeSb2

- Which value of total moment does entry 3 give?
  0.0 μB per formula unit